# MnAgTeN2 (meta-GGA SCAN, single point on PBEsol structure)
# Total magnetic moment = 8.12 Bohr magnetons per cell
# Formation energy from raw total energies = 1466 meV/atom
data_MnAgTeN2
_space_group_name_H-M_alt 'P 4/m m m'
_space_group_IT_number 123
_space_group_name_Hall '-P 4 2'
_cell_length_a 4.0084
_cell_length_b 4.0084
_cell_length_c 5.8090
_cell_angle_alpha 90.00
_cell_angle_beta 90.00
_cell_angle_gamma 90.00
loop_
_atom_site_label
_atom_site_type_symbol
_atom_site_fract_x
_atom_site_fract_y
_atom_site_fract_z
Mn1 Mn 0.0000 0.0000 0.0000
Ag1 Ag 0.5000 0.5000 0.5000
Te1 Te 0.5000 0.5000 0.0000
N1 N 0.0000 0.5000 0.5000